Entry 1:
DFT (GGA-PBE) results for a relaxed PuMg2Rh3 crystal.

Output
* spin magnetization: 4.47 μB per formula unit
* calculated total energy: -7.135 eV per atom
* ΔH_f (0 K): -3.237 eV per formula unit
* symmetry: P-3m1, No. 164
* DOS(E_F): 6.19 states/eV/f.u.

Unit cell a=4.5629 b=4.5629 c=11.2199 alpha=90.00 beta=90.00 gamma=120.00
With the nearest neighbours (Å) after each atom.
Positions (direct):
Pu (0.3333, 0.6667, 0.6711)  8 Rh 2.72-2.86
Mg (0.0000, 0.0000, 0.5000)  8 Rh 2.80-2.87
Rh (0.3333, 0.6667, 0.4161)  4 Mg 2.80-2.97, 4 Pu 2.81-2.86
Rh (0.6667, 0.3333, 0.0863)  7 Mg 2.67-2.81, 1 Pu 2.72
Rh (0.0000, 0.0000, 0.2439)  5 Mg 2.74-2.87, 3 Pu 2.80
Rh (0.6667, 0.3333, 0.5839)  4 Mg 2.80-2.97, 4 Pu 2.81-2.86
Mg (0.3333, 0.6667, 0.1515)  8 Rh 2.67-2.97
Mg (0.6667, 0.3333, 0.8485)  8 Rh 2.67-2.97
Mg (0.0000, 0.0000, 0.0000)  8 Rh 2.74-2.81
Pu (0.6667, 0.3333, 0.3289)  8 Rh 2.72-2.86
Rh (0.3333, 0.6667, 0.9137)  7 Mg 2.67-2.81, 1 Pu 2.72
Rh (0.0000, 0.0000, 0.7561)  5 Mg 2.74-2.87, 3 Pu 2.80

Entry 2:
DFT (GGA-PBE) results for a relaxed Pu4MgRh3 crystal.

Output
* spin magnetization: 21.19 μB per formula unit
* calculated total energy: -10.537 eV per atom
* ΔH_f (0 K): -3.321 eV per formula unit
* symmetry: I4/mcm, No. 140
* DOS(E_F): 27.53 states/eV/f.u.

Unit cell a=5.6585 b=8.1732 c=8.1732 alpha=83.12 beta=69.75 gamma=69.75
With the nearest neighbours (Å) after each atom.
Positions (direct):
Rh (0.6583, 0.1834, 0.5000)  2 Mg 2.81, 4 Pu 2.90-2.91
Rh (0.7500, 0.0000, 0.0000)  2 Rh 2.83, 8 Pu 2.95
Rh (0.3417, 0.8166, 0.5000)  2 Mg 2.81, 4 Pu 2.90-2.91
Pu (0.2759, 0.1415, 0.3066)  6 Rh 2.90-3.21, 1 Pu 2.97
Rh (0.2500, 0.0000, 0.0000)  2 Rh 2.83, 8 Pu 2.95
Pu (0.2241, 0.6934, 0.8585)  6 Rh 2.90-3.21, 1 Pu 2.97
Pu (0.7241, 0.8585, 0.6934)  6 Rh 2.90-3.21, 1 Pu 2.97
Rh (0.8417, 0.5000, 0.8166)  2 Mg 2.81, 4 Pu 2.90-2.91
Pu (0.5826, 0.6934, 0.1415)  6 Rh 2.90-3.21, 1 Pu 2.97
Pu (0.7759, 0.3066, 0.1415)  6 Rh 2.90-3.21, 1 Pu 2.97
Mg (0.7500, 0.5000, 0.5000)  4 Rh 2.81, 2 Mg 2.83
Pu (0.9174, 0.8585, 0.3066)  6 Rh 2.90-3.21, 1 Pu 2.97
Pu (0.4174, 0.3066, 0.8585)  6 Rh 2.90-3.21, 1 Pu 2.97
Pu (0.0826, 0.1415, 0.6934)  6 Rh 2.90-3.21, 1 Pu 2.97
Mg (0.2500, 0.5000, 0.5000)  4 Rh 2.81, 2 Mg 2.83
Rh (0.1583, 0.5000, 0.1834)  2 Mg 2.81, 4 Pu 2.90-2.91

Entry 3:
DFT (GGA-PBE) results for a relaxed PuMg2Rh crystal.

Output
* spin magnetization: 6.10 μB per formula unit
* calculated total energy: -6.429 eV per atom
* ΔH_f (0 K): -0.843 eV per formula unit
* symmetry: P4/mmm, No. 123
* DOS(E_F): 7.71 states/eV/f.u.

Unit cell a=3.1197 b=3.1197 c=8.2508 alpha=90.00 beta=90.00 gamma=90.00
With the nearest neighbours (Å) after each atom.
Positions (direct):
Mg (0.0000, 0.0000, 0.1847)  4 Rh 2.68
Rh (0.5000, 0.5000, 0.0000)  8 Mg 2.68
Mg (0.0000, 0.0000, 0.8153)  4 Rh 2.68
Pu (0.5000, 0.5000, 0.5000)  4 Pu 3.12, 8 Mg 3.41

Entry 4:
DFT (GGA-PBE) results for a relaxed PuMgRh crystal.

Output
* spin magnetization: 5.50 μB per formula unit
* calculated total energy: -7.909 eV per atom
* ΔH_f (0 K): -0.450 eV per formula unit
* symmetry: F-43m, No. 216
* DOS(E_F): 11.24 states/eV/f.u.

Unit cell a=4.6443 b=4.6443 c=4.6443 alpha=60.00 beta=60.00 gamma=60.00
With the nearest neighbours (Å) after each atom.
Positions (direct):
Mg (0.5000, 0.5000, 0.5000)  4 Rh 2.84
Pu (0.0000, 0.0000, 0.0000)  4 Rh 2.84
Rh (0.2500, 0.2500, 0.2500)  4 Mg 2.84, 4 Pu 2.84

Entry 5:
DFT (GGA-PBE) results for a relaxed PuMgRh crystal.

Output
* spin magnetization: 5.61 μB per formula unit
* calculated total energy: -8.020 eV per atom
* ΔH_f (0 K): -0.783 eV per formula unit
* symmetry: P4_2/m, No. 84
* DOS(E_F): 9.18 states/eV/f.u.

Unit cell a=4.3707 b=7.7078 c=7.7078 alpha=90.00 beta=90.00 gamma=90.00
With the nearest neighbours (Å) after each atom.
Positions (direct):
Rh (0.5000, 0.3577, 0.0969)  1 Rh 2.65, 3 Mg 2.68-2.72, 3 Pu 2.76-2.91
Pu (0.5000, 0.7693, 0.5686)  3 Rh 2.76-2.91
Rh (0.5000, 0.6423, 0.9031)  1 Rh 2.65, 3 Mg 2.68-2.72, 3 Pu 2.76-2.91
Rh (0.0000, 0.9031, 0.3577)  1 Rh 2.65, 3 Mg 2.68-2.72, 3 Pu 2.76-2.91
Pu (0.0000, 0.4314, 0.7693)  3 Rh 2.76-2.91
Mg (0.5000, 0.1137, 0.8417)  3 Rh 2.68-2.72
Pu (0.0000, 0.5686, 0.2307)  3 Rh 2.76-2.91
Mg (0.0000, 0.1583, 0.1137)  3 Rh 2.68-2.72
Rh (0.0000, 0.0969, 0.6423)  1 Rh 2.65, 3 Mg 2.68-2.72, 3 Pu 2.76-2.91
Mg (0.5000, 0.8863, 0.1583)  3 Rh 2.68-2.72
Pu (0.5000, 0.2307, 0.4314)  3 Rh 2.76-2.91
Mg (0.0000, 0.8417, 0.8863)  3 Rh 2.68-2.72

Entry 6:
DFT (GGA-PBE) results for a relaxed PuMg4Rh5 crystal.

Output
* spin magnetization: 4.59 μB per formula unit
* calculated total energy: -6.226 eV per atom
* ΔH_f (0 K): -4.793 eV per formula unit
* symmetry: P4/mmm, No. 123
* DOS(E_F): 13.01 states/eV/f.u.

Unit cell a=3.1940 b=3.1940 c=15.8117 alpha=90.00 beta=90.00 gamma=90.00
With the nearest neighbours (Å) after each atom.
Positions (direct):
Rh (0.5000, 0.5000, 0.8880)  4 Mg 2.79, 4 Pu 2.87, 1 Rh 3.09
Rh (0.5000, 0.5000, 0.3074)  8 Mg 2.68-2.73
Rh (0.5000, 0.5000, 0.6926)  8 Mg 2.68-2.73
Pu (0.0000, 0.0000, 0.0000)  8 Rh 2.87, 4 Pu 3.19
Rh (0.5000, 0.5000, 0.1120)  4 Mg 2.79, 4 Pu 2.87, 1 Rh 3.09
Mg (0.0000, 0.0000, 0.2157)  8 Rh 2.68-2.79, 1 Mg 2.99
Mg (0.0000, 0.0000, 0.5955)  8 Rh 2.72-2.73, 2 Mg 2.99-3.02
Mg (0.0000, 0.0000, 0.4045)  8 Rh 2.72-2.73, 2 Mg 2.99-3.02
Rh (0.5000, 0.5000, 0.5000)  8 Mg 2.72
Mg (0.0000, 0.0000, 0.7843)  8 Rh 2.68-2.79, 1 Mg 2.99

Entry 7:
DFT (GGA-PBE) results for a relaxed Pu3MgRh4 crystal.

Output
* spin magnetization: 14.54 μB per formula unit
* calculated total energy: -9.706 eV per atom
* ΔH_f (0 K): -3.654 eV per formula unit
* symmetry: C2/m, No. 12
* DOS(E_F): 24.60 states/eV/f.u.

Unit cell a=4.7252 b=4.7298 c=8.3073 alpha=73.58 beta=73.48 gamma=60.07
With the nearest neighbours (Å) after each atom.
Positions (direct):
Pu (0.2535, 0.2539, 0.2387)  7 Rh 2.80-2.90
Rh (0.8793, 0.8800, 0.3610)  1 Mg 2.83, 7 Pu 2.89-3.14
Mg (0.0000, 0.0000, 0.0000)  8 Rh 2.83-2.89
Pu (0.5000, 0.5000, 0.5000)  8 Rh 2.94-3.00
Rh (0.1207, 0.1200, 0.6390)  1 Mg 2.83, 7 Pu 2.89-3.14
Pu (0.7465, 0.7461, 0.7613)  7 Rh 2.80-2.90
Rh (0.6272, 0.6278, 0.1179)  5 Pu 2.80-3.00, 3 Mg 2.88-2.89
Rh (0.3728, 0.3722, 0.8821)  5 Pu 2.80-3.00, 3 Mg 2.88-2.89

Entry 8:
DFT (GGA-PBE) results for a relaxed Pu2MgRh3 crystal.

Output
* spin magnetization: 9.59 μB per formula unit
* calculated total energy: -9.190 eV per atom
* ΔH_f (0 K): -2.826 eV per formula unit
* symmetry: P2/m, No. 10
* DOS(E_F): 17.69 states/eV/f.u.

Unit cell a=3.4975 b=4.5257 c=7.3188 alpha=106.55 beta=90.00 gamma=90.00
With the nearest neighbours (Å) after each atom.
Positions (direct):
Rh (0.5000, 0.5000, 0.0000)  4 Mg 2.86, 4 Pu 2.88, 4 Rh 3.16-3.17
Pu (0.0000, 0.6531, 0.3255)  8 Rh 2.85-3.07
Mg (0.0000, 0.0000, 0.0000)  8 Rh 2.82-2.86
Pu (0.0000, 0.3469, 0.6745)  8 Rh 2.85-3.07
Rh (0.5000, 0.1445, 0.3151)  2 Mg 2.82, 6 Pu 2.85-3.07
Rh (0.5000, 0.8555, 0.6849)  2 Mg 2.82, 6 Pu 2.85-3.07